(1)
The following is a DFT calculation (PBE) of an optimized crystal structure of MnFePt2Pb.

## Properties
Uncorrected energy = -5.1396 eV/atom
Formation energy from the elements = 7.72 eV/f.u.
Mass density = 9.2 g/cm3

abc: 5.0654 5.0654 4.9860
angles: 90.00 90.00 90.00
Last column: nearest neighbours and their distance in Å.
Sites, in units of the cell vectors:
1 Mn 0.0000 0.0000 0.0000  2 Pb 2.49
2 Fe 0.5000 0.5000 0.0000  8 Pt 3.55, 4 Mn 3.58
3 Pt 0.0000 0.5000 0.5000  2 Pb 2.53
4 Pt 0.5000 0.0000 0.5000  2 Pb 2.53
5 Pb 0.0000 0.0000 0.5000  2 Mn 2.49, 4 Pt 2.53


(2)
The following is a DFT calculation (PBE) of an optimized crystal structure of SrMn2FePb.

## Properties
Uncorrected energy = -4.6024 eV/atom
Formation energy from the elements = 9.18 eV/f.u.
Mass density = 5.5 g/cm3

abc: 5.3021 5.3021 4.9245
angles: 90.00 90.00 90.00
Last column: nearest neighbours and their distance in Å.
Sites, in units of the cell vectors:
1 Sr 0.0000 0.0000 0.0000  2 Fe 2.46, 4 Mn 2.65
2 Mn 0.0000 0.5000 0.0000  2 Sr 2.65
3 Mn 0.5000 0.0000 0.0000  2 Sr 2.65
4 Fe 0.0000 0.0000 0.5000  2 Sr 2.46
5 Pb 0.5000 0.5000 0.5000  8 Mn 3.62, 4 Fe 3.75


(3)
The following is a DFT calculation (PBE) of an optimized crystal structure of MnFeTc2Pb.

## Properties
Uncorrected energy = -6.8064 eV/atom
Formation energy from the elements = 8.04 eV/f.u.
Mass density = 9.2 g/cm3

abc: 4.3777 4.3777 4.8494
angles: 90.00 90.00 90.00
Last column: nearest neighbours and their distance in Å.
Sites, in units of the cell vectors:
1 Mn 0.0000 0.0000 0.0000  4 Tc 2.19, 2 Pb 2.42
2 Fe 0.5000 0.5000 0.5000  4 Pb 3.10, 8 Tc 3.27
3 Tc 0.0000 0.5000 0.0000  2 Mn 2.19
4 Tc 0.5000 0.0000 0.0000  2 Mn 2.19
5 Pb 0.0000 0.0000 0.5000  2 Mn 2.42


(4)
The following is a DFT calculation (PBE) of an optimized crystal structure of Mn2ZnFePb.

## Properties
Uncorrected energy = -5.1187 eV/atom
Formation energy from the elements = 6.19 eV/f.u.
Mass density = 6.6 g/cm3

abc: 4.6607 4.6607 5.0643
angles: 90.00 90.00 90.00
Last column: nearest neighbours and their distance in Å.
Sites, in units of the cell vectors:
1 Mn 0.0000 0.5000 0.0000  2 Zn 2.33
2 Mn 0.5000 0.0000 0.0000  2 Zn 2.33
3 Zn 0.0000 0.0000 0.0000  4 Mn 2.33, 2 Pb 2.53
4 Fe 0.5000 0.5000 0.5000  4 Pb 3.30, 8 Mn 3.44
5 Pb 0.0000 0.0000 0.5000  2 Zn 2.53


(5)
The following is a DFT calculation (PBE) of an optimized crystal structure of MnFe6Pd12.

## Properties
Uncorrected energy = -6.5254 eV/atom
Energy above the most stable polymorph in this dataset = 0 meV per atom
Formation energy from the elements = -1.72 eV/f.u.
Mass density = 10.1 g/cm3

abc: 7.2376 7.2376 7.2376
angles: 110.92 110.92 110.92
Last column: nearest neighbours and their distance in Å.
Sites, in units of the cell vectors:
1 Mn 0.0000 0.0000 0.0000  12 Pd 2.77-2.78
2 Fe 0.0548 0.5800 0.3628  9 Pd 2.65-2.79, 3 Fe 2.72-2.83
3 Fe 0.3628 0.0548 0.5800  9 Pd 2.65-2.79, 3 Fe 2.72-2.83
4 Fe 0.4200 0.6372 0.9452  9 Pd 2.65-2.79, 3 Fe 2.72-2.83
5 Fe 0.5800 0.3628 0.0548  9 Pd 2.65-2.79, 3 Fe 2.72-2.83
6 Fe 0.6372 0.9452 0.4200  9 Pd 2.65-2.79, 3 Fe 2.72-2.83
7 Fe 0.9452 0.4200 0.6372  9 Pd 2.65-2.79, 3 Fe 2.72-2.83
8 Pd 0.1136 0.1648 0.7378  5 Fe 2.65-2.74, 6 Pd 2.69-2.84, 1 Mn 2.78
9 Pd 0.1648 0.7378 0.1136  5 Fe 2.65-2.74, 6 Pd 2.69-2.84, 1 Mn 2.78
10 Pd 0.2058 0.3273 0.4761  4 Fe 2.66-2.79, 7 Pd 2.69-2.84, 1 Mn 2.77
11 Pd 0.2622 0.8864 0.8352  5 Fe 2.65-2.74, 6 Pd 2.69-2.84, 1 Mn 2.78
12 Pd 0.3273 0.4761 0.2058  4 Fe 2.66-2.79, 7 Pd 2.69-2.84, 1 Mn 2.77
13 Pd 0.4761 0.2058 0.3273  4 Fe 2.66-2.79, 7 Pd 2.69-2.84, 1 Mn 2.77
14 Pd 0.5239 0.7942 0.6727  4 Fe 2.66-2.79, 7 Pd 2.69-2.84, 1 Mn 2.77
15 Pd 0.6727 0.5239 0.7942  4 Fe 2.66-2.79, 7 Pd 2.69-2.84, 1 Mn 2.77
16 Pd 0.7378 0.1136 0.1648  5 Fe 2.65-2.74, 6 Pd 2.69-2.84, 1 Mn 2.78
17 Pd 0.7942 0.6727 0.5239  4 Fe 2.66-2.79, 7 Pd 2.69-2.84, 1 Mn 2.77
18 Pd 0.8352 0.2622 0.8864  5 Fe 2.65-2.74, 6 Pd 2.69-2.84, 1 Mn 2.78
19 Pd 0.8864 0.8352 0.2622  5 Fe 2.65-2.74, 6 Pd 2.69-2.84, 1 Mn 2.78


(6)
The following is a DFT calculation (PBE) of an optimized crystal structure of Mn2FePd.

## Properties
Uncorrected energy = -7.9536 eV/atom
Energy above the most stable polymorph in this dataset = 0 meV per atom
Formation energy from the elements = 0.18 eV/f.u.
Mass density = 8.6 g/cm3

abc: 2.9391 2.9391 6.0839
angles: 90.00 90.00 90.00
Last column: nearest neighbours and their distance in Å.
Sites, in units of the cell vectors:
1 Mn 0.0000 0.0000 0.2249  4 Fe 2.49, 4 Pd 2.67, 1 Mn 2.74
2 Mn 0.0000 0.0000 0.7751  4 Fe 2.49, 4 Pd 2.67, 1 Mn 2.74
3 Fe 0.5000 0.5000 0.0000  8 Mn 2.49
4 Pd 0.5000 0.5000 0.5000  8 Mn 2.67, 4 Pd 2.94


(7)
The following is a DFT calculation (PBE) of an optimized crystal structure of Mn3FePd12.

## Properties
Uncorrected energy = -6.3375 eV/atom
Formation energy from the elements = -3.12 eV/f.u.
Mass density = 10.4 g/cm3

abc: 3.9177 3.9177 15.6134
angles: 90.00 90.00 90.00
Last column: nearest neighbours and their distance in Å.
Sites, in units of the cell vectors:
1 Mn 0.0000 0.0000 0.0000  12 Pd 2.77
2 Mn 0.0000 0.0000 0.2506  12 Pd 2.76-2.79
3 Mn 0.0000 0.0000 0.7494  12 Pd 2.76-2.79
4 Fe 0.0000 0.0000 0.5000  12 Pd 2.74-2.77
5 Pd 0.0000 0.5000 0.1257  4 Mn 2.76-2.77, 8 Pd 2.77
6 Pd 0.0000 0.5000 0.3776  2 Fe 2.74, 8 Pd 2.74-2.78, 2 Mn 2.79
7 Pd 0.0000 0.5000 0.6224  2 Fe 2.74, 8 Pd 2.74-2.78, 2 Mn 2.79
8 Pd 0.0000 0.5000 0.8743  4 Mn 2.76-2.77, 8 Pd 2.77
9 Pd 0.5000 0.0000 0.1257  4 Mn 2.76-2.77, 8 Pd 2.77
10 Pd 0.5000 0.0000 0.3776  2 Fe 2.74, 8 Pd 2.74-2.78, 2 Mn 2.79
11 Pd 0.5000 0.0000 0.6224  2 Fe 2.74, 8 Pd 2.74-2.78, 2 Mn 2.79
12 Pd 0.5000 0.0000 0.8743  4 Mn 2.76-2.77, 8 Pd 2.77
13 Pd 0.5000 0.5000 0.0000  4 Mn 2.77, 8 Pd 2.77
14 Pd 0.5000 0.5000 0.2515  4 Mn 2.77, 8 Pd 2.77-2.78
15 Pd 0.5000 0.5000 0.5000  8 Pd 2.74, 4 Fe 2.77
16 Pd 0.5000 0.5000 0.7485  4 Mn 2.77, 8 Pd 2.77-2.78


(8)
The following is a DFT calculation (PBE) of an optimized crystal structure of MnFe4Pd.

## Properties
Uncorrected energy = -7.9115 eV/atom
Formation energy from the elements = 0.74 eV/f.u.
Mass density = 8.5 g/cm3

abc: 4.7461 4.7461 4.7461
angles: 60.00 60.00 60.00
Last column: nearest neighbours and their distance in Å.
Sites, in units of the cell vectors:
1 Mn 0.0000 0.0000 0.0000  12 Fe 2.78, 4 Pd 2.91
2 Fe 0.3740 0.3740 0.3740  6 Fe 2.35-2.39
3 Fe 0.3740 0.3740 0.8780  6 Fe 2.35-2.39
4 Fe 0.3740 0.8780 0.3740  6 Fe 2.35-2.39
5 Fe 0.8780 0.3740 0.3740  6 Fe 2.35-2.39
6 Pd 0.7500 0.7500 0.7500  12 Fe 2.78, 4 Mn 2.91


(9)
The following is a DFT calculation (PBE) of an optimized crystal structure of MnFePd5.

## Properties
Uncorrected energy = -6.2572 eV/atom
Energy above the most stable polymorph in this dataset = 0 meV per atom
Formation energy from the elements = -0.20 eV/f.u.
Mass density = 9.6 g/cm3

abc: 4.0154 4.0154 6.8793
angles: 90.00 90.00 90.00
Last column: nearest neighbours and their distance in Å.
Sites, in units of the cell vectors:
1 Mn 0.0000 0.0000 0.0000  12 Pd 2.78-2.84
2 Fe 0.5000 0.5000 0.5000  8 Pd 2.52
3 Pd 0.0000 0.5000 0.2793  2 Fe 2.52, 2 Pd 2.78, 2 Mn 2.78
4 Pd 0.0000 0.5000 0.7207  2 Fe 2.52, 2 Pd 2.78, 2 Mn 2.78
5 Pd 0.5000 0.0000 0.2793  2 Fe 2.52, 2 Pd 2.78, 2 Mn 2.78
6 Pd 0.5000 0.0000 0.7207  2 Fe 2.52, 2 Pd 2.78, 2 Mn 2.78
7 Pd 0.5000 0.5000 0.0000  8 Pd 2.78, 4 Mn 2.84


(10)
The following is a DFT calculation (PBE) of an optimized crystal structure of Mn2Fe2Pd.

## Properties
Uncorrected energy = -7.8881 eV/atom
Energy above the most stable polymorph in this dataset = 28 meV per atom
Formation energy from the elements = 1.02 eV/f.u.
Mass density = 9.3 g/cm3

abc: 6.7895 6.7895 2.5370
angles: 90.00 90.00 90.00
Last column: nearest neighbours and their distance in Å.
Sites, in units of the cell vectors:
1 Mn 0.1213 0.3787 0.0000  3 Mn 2.33-2.54, 6 Fe 2.36-2.39
2 Mn 0.3787 0.8787 0.0000  3 Mn 2.33-2.54, 6 Fe 2.36-2.39
3 Mn 0.6213 0.1213 0.0000  3 Mn 2.33-2.54, 6 Fe 2.36-2.39
4 Mn 0.8787 0.6213 0.0000  3 Mn 2.33-2.54, 6 Fe 2.36-2.39
5 Fe 0.1681 0.6681 0.5000  6 Mn 2.36-2.39, 2 Fe 2.54
6 Fe 0.3319 0.1681 0.5000  6 Mn 2.36-2.39, 2 Fe 2.54
7 Fe 0.6681 0.8319 0.5000  6 Mn 2.36-2.39, 2 Fe 2.54
8 Fe 0.8319 0.3319 0.5000  6 Mn 2.36-2.39, 2 Fe 2.54
9 Pd 0.0000 0.0000 0.0000  2 Pd 2.54, 4 Mn 2.70, 8 Fe 2.83
10 Pd 0.5000 0.5000 0.0000  2 Pd 2.54, 4 Mn 2.70, 8 Fe 2.83


(11)
The following is a DFT calculation (PBE) of an optimized crystal structure of MnFe4Pd15.

## Properties
Uncorrected energy = -6.1601 eV/atom
Formation energy from the elements = -2.29 eV/f.u.
Mass density = 10.5 g/cm3

abc: 3.9096 3.9096 19.3703
angles: 90.00 90.00 90.00
Last column: nearest neighbours and their distance in Å.
Sites, in units of the cell vectors:
1 Mn 0.0000 0.0000 0.0000  12 Pd 2.76-2.79
2 Fe 0.0000 0.0000 0.2001  12 Pd 2.72-2.77
3 Fe 0.0000 0.0000 0.3993  12 Pd 2.72-2.76
4 Fe 0.0000 0.0000 0.6007  12 Pd 2.72-2.76
5 Fe 0.0000 0.0000 0.7999  12 Pd 2.72-2.77
6 Pd 0.0000 0.5000 0.1025  2 Fe 2.72, 8 Pd 2.74-2.79, 2 Mn 2.79
7 Pd 0.0000 0.5000 0.3014  4 Fe 2.72-2.77, 8 Pd 2.74-2.76
8 Pd 0.0000 0.5000 0.5000  8 Pd 2.74-2.76, 4 Fe 2.76
9 Pd 0.0000 0.5000 0.6986  4 Fe 2.72-2.77, 8 Pd 2.74-2.76
10 Pd 0.0000 0.5000 0.8975  2 Fe 2.72, 8 Pd 2.74-2.79, 2 Mn 2.79
11 Pd 0.5000 0.0000 0.1025  2 Fe 2.72, 8 Pd 2.74-2.79, 2 Mn 2.79
12 Pd 0.5000 0.0000 0.3014  4 Fe 2.72-2.77, 8 Pd 2.74-2.76
13 Pd 0.5000 0.0000 0.5000  8 Pd 2.74-2.76, 4 Fe 2.76
14 Pd 0.5000 0.0000 0.6986  4 Fe 2.72-2.77, 8 Pd 2.74-2.76
15 Pd 0.5000 0.0000 0.8975  2 Fe 2.72, 8 Pd 2.74-2.79, 2 Mn 2.79
16 Pd 0.5000 0.5000 0.0000  4 Mn 2.76, 8 Pd 2.79
17 Pd 0.5000 0.5000 0.2018  8 Pd 2.74-2.75, 4 Fe 2.76
18 Pd 0.5000 0.5000 0.4007  8 Pd 2.74, 4 Fe 2.76
19 Pd 0.5000 0.5000 0.5993  8 Pd 2.74, 4 Fe 2.76
20 Pd 0.5000 0.5000 0.7982  8 Pd 2.74-2.75, 4 Fe 2.76


(12)
The following is a DFT calculation (PBE) of an optimized crystal structure of Mn2Fe2Pd.

## Properties
Uncorrected energy = -7.7046 eV/atom
Energy above the most stable polymorph in this dataset = 211 meV per atom
Formation energy from the elements = 1.93 eV/f.u.
Mass density = 8.8 g/cm3

abc: 3.5847 3.5847 9.6639
angles: 90.00 90.00 90.00
Last column: nearest neighbours and their distance in Å.
Sites, in units of the cell vectors:
1 Mn 0.0000 0.5000 0.2500  4 Fe 2.24
2 Mn 0.0000 0.5000 0.7500  4 Fe 2.24
3 Mn 0.5000 0.0000 0.2500  4 Fe 2.24
4 Mn 0.5000 0.0000 0.7500  4 Fe 2.24
5 Fe 0.0000 0.0000 0.1104  1 Fe 2.13, 4 Mn 2.24
6 Fe 0.0000 0.0000 0.8896  1 Fe 2.13, 4 Mn 2.24
7 Fe 0.5000 0.5000 0.3896  1 Fe 2.13, 4 Mn 2.24
8 Fe 0.5000 0.5000 0.6104  1 Fe 2.13, 4 Mn 2.24
9 Pd 0.0000 0.0000 0.5000  8 Fe 2.75, 8 Mn 3.01
10 Pd 0.5000 0.5000 0.0000  8 Fe 2.75, 8 Mn 3.01


(13)
The following is a DFT calculation (PBE) of an optimized crystal structure of MnFePd3.

## Properties
Uncorrected energy = -5.4730 eV/atom
Energy above the most stable polymorph in this dataset = 1292 meV per atom
Formation energy from the elements = 5.85 eV/f.u.
Mass density = 7.8 g/cm3

abc: 4.5155 4.5155 4.5155
angles: 90.00 90.00 90.00
Last column: nearest neighbours and their distance in Å.
Sites, in units of the cell vectors:
1 Mn 0.0000 0.0000 0.0000  6 Pd 2.26
2 Fe 0.5000 0.5000 0.5000  12 Pd 3.19
3 Pd 0.0000 0.0000 0.5000  2 Mn 2.26
4 Pd 0.0000 0.5000 0.0000  2 Mn 2.26
5 Pd 0.5000 0.0000 0.0000  2 Mn 2.26